No. 1
A plane-wave DFT calculation with PBE-GGA was carried out for BeZnS2 after structural relaxation.

a = 4.9214 Å, b = 4.9214 Å, c = 9.6708 Å
α = 90.00°, β = 90.00°, γ = 90.00°
Space group I4_1/amd (No. 141, origin choice 2)
Inequivalent atoms, fractional coordinates:
Be 0.0000 0.2500 0.3750
Zn 0.0000 0.2500 0.8750
S 0.0000 0.2500 0.1440

Values from the calculation:
crystal system = tetragonal
uncorrected formation energy = -0.46 eV/atom
energy above the lowest structure with this stoichiometry = 0.4600 eV per atom

No. 2
A plane-wave DFT calculation with PBE-GGA was carried out for BeZnS2 after structural relaxation.

a = 3.6171 Å, b = 6.3384 Å, c = 5.9895 Å
α = 90.00°, β = 90.00°, γ = 90.00°
Space group Pmc2_1 (No. 26)
Inequivalent atoms, fractional coordinates:
Be 0.0000 0.1594 0.0000
Zn 0.5000 0.3282 0.4963
S 0.0000 0.1436 0.6451
S 0.5000 0.3153 0.1050

Values from the calculation:
crystal system = orthorhombic
uncorrected formation energy = -0.91 eV/atom
energy above the lowest structure with this stoichiometry = 0.0135 eV per atom

> Among the records above, which one has the lowest energy above the lowest structure with this stoichiometry?

number 2